Record 1
Here is a geometry-optimized Pr3DyEr2Tm6 structure from the Alexandria database. Energies are from PBE.

```
12
Lattice="3.083 -5.337 0.000 3.083 5.337 0.000 -2.051 0.000 11.523" Properties=species:S:1:pos:R:3 pbc="T T T"
Pr 0.000 0.000 0.000
Pr 3.083 1.779 0.000
Pr 3.083 -1.779 0.000
Dy 2.058 0.000 5.761
Er 2.058 3.558 5.761
Er 2.058 -3.558 5.761
Tm 1.027 1.779 2.937
Tm 0.005 0.000 8.585
Tm 1.027 -1.779 2.937
Tm 3.088 1.779 8.585
Tm 4.111 0.000 2.937
Tm 3.088 -1.779 8.585
```

Summary:
Formation energy in eV/atom: 0.03
DOS(E_F) in states/eV/f.u.: 15.98

=====

Record 2
Here is a geometry-optimized ErSc6 structure from the Alexandria database. Energies are from PBE.

```
7
Lattice="-3.630 3.630 3.630 3.630 -3.630 3.630 3.630 3.630 -3.630" Properties=species:S:1:pos:R:3 pbc="T T T"
Er 0.000 0.000 0.000
Sc 3.630 1.815 0.000
Sc 3.630 0.000 1.815
Sc 1.815 3.630 0.000
Sc 1.815 0.000 3.630
Sc 0.000 3.630 1.815
Sc 0.000 1.815 3.630
```

Summary:
Formation energy in eV/atom: 1.33
DOS(E_F) in states/eV/f.u.: 7.16
E above lowest polymorph in meV per atom: 1087

=====

Record 3
Here is a geometry-optimized NdTlNi structure from the Alexandria database. Energies are from PBE.

```
6
Lattice="3.893 -2.252 0.000 3.893 2.252 0.000 -2.586 0.000 8.442" Properties=species:S:1:pos:R:3 pbc="T T T"
Nd 1.299 0.000 2.079
Nd 3.902 0.000 6.363
Tl -1.293 0.000 4.221
Tl 3.893 0.000 0.000
Ni 1.307 0.000 4.927
Ni 3.893 0.000 3.515
```

Summary:
Formation energy in eV/atom: -0.21
DOS(E_F) in states/eV/f.u.: 2.53

=====

Record 4
Here is a geometry-optimized Hf2TiCdPb structure from the Alexandria database. Energies are from PBE.

```
5
Lattice="5.547 0.000 0.000 0.000 5.547 0.000 0.000 0.000 5.443" Properties=species:S:1:pos:R:3 pbc="T T T"
Hf 0.000 2.774 0.000
Hf 2.774 0.000 0.000
Ti 0.000 0.000 2.722
Cd 2.774 2.774 2.722
Pb 0.000 0.000 0.000
```

Summary:
Formation energy in eV/atom: 1.32
DOS(E_F) in states/eV/f.u.: 7.39

=====

Record 5
Here is a geometry-optimized TaSbCl2 structure from the Alexandria database. Energies are from PBE.

```
4
Lattice="-2.130 2.130 4.551 2.130 -2.130 4.551 2.130 2.130 -4.551" Properties=species:S:1:pos:R:3 pbc="T T T"
Ta 0.000 0.000 0.000
Sb 0.000 0.000 4.551
Cl 2.130 0.000 2.276
Cl 0.000 2.130 2.276
```

Summary:
DOS(E_F) in states/eV/f.u.: 3.16
E above lowest polymorph in meV per atom: 1132
Formation energy (no corrections) in eV/atom: 0.53

=====

Record 6
Here is a geometry-optimized Li4Np3AuS8 structure from the Alexandria database. Energies are from PBE.

```
16
Lattice="6.623 -3.815 0.000 6.623 3.815 0.000 -4.200 0.000 6.342" Properties=species:S:1:pos:R:3 pbc="T T T"
Li 0.000 0.000 0.000
Li 1.211 1.907 3.171
Li 1.211 -1.907 3.171
Li 6.623 0.000 0.000
Np -2.100 0.000 3.171
Np 3.312 1.907 0.000
Np 3.312 -1.907 0.000
Au 4.523 0.000 3.171
S 2.125 0.000 1.474
S 5.538 1.905 1.551
S 0.168 0.000 4.705
S 3.508 1.905 4.791
S 5.538 -1.905 1.551
S 8.878 0.000 1.637
S 3.508 -1.905 4.791
S 6.920 0.000 4.868
```

Summary:
DOS(E_F) in states/eV/f.u.: 27.12
Formation energy (no corrections) in eV/atom: -1.16